Entry 1:
# Sc3Cl

A geometry-optimized Sc3Cl structure (GGA-PBE, Alexandria).

Computed properties:
- formation energy without anion corrections (eV per atom) = -0.151
- M_tot (μB per atom) = 0.23
- crystal system = orthorhombic

Cell: 7.1406 7.1406 5.4790 Å, 90.00 90.00 128.06°
Last column: magnetic moment on the atom in μB.
Fractional positions:
Sc (0.5718, 0.9444, 0.7500)  0.16
Sc (0.9101, 0.0899, 0.2500)  0.22
Sc (0.0556, 0.4282, 0.7500)  0.16
Sc (0.9444, 0.5718, 0.2500)  0.16
Sc (0.4282, 0.0556, 0.2500)  0.16
Sc (0.0899, 0.9101, 0.7500)  0.22
Cl (0.5447, 0.4553, 0.2500)  0.00
Cl (0.4553, 0.5447, 0.7500)  0.00

Entry 2:
# Sc3Cl

A geometry-optimized Sc3Cl structure (GGA-PBE, Alexandria).

Computed properties:
- formation energy without anion corrections (eV per atom) = -0.491
- M_tot (μB per atom) = 0.00
- crystal system = orthorhombic

Cell: 3.2700 3.2700 9.1274 Å, 90.00 90.00 112.84°
Fractional positions:
Sc (0.5000, 0.5000, 0.2315)
Sc (0.5000, 0.5000, 0.7685)
Sc (0.0000, 0.0000, 0.5000)
Cl (0.0000, 0.0000, 0.0000)

Density (computed, g/cm³): 2.572; 3.144
Uncorrected energy (computed, eV/atom): -5.361; -5.701